## Sr2HfZnF (GGA-PBE)

Data for a relaxed structure of Sr2HfZnF.

Computed properties:
ΔE_f (raw), eV/atom: -0.032

Lattice parameters (Å, degrees): 6.1401 6.1401 4.9786 90.00 90.00 90.00
Space group P4/mmm (No. 123)
Asymmetric unit:
Sr 0.0000 0.5000 0.0000 x2
Hf 0.0000 0.0000 0.5000 x1
Zn 0.0000 0.0000 0.0000 x1
F 0.5000 0.5000 0.5000 x1